A crystal of YInPt2 relaxed with PBEsol. Source: Alexandria via LeMat-Bulk, functional meta-GGA SCAN.

Results
- total magnetization (μB per cell) = 0.0
- uncorrected energy (eV/atom) = -51.533
- ΔH_f (0 K) (eV/atom) = -1.13

a = 4.5248 Å, b = 4.5248 Å, c = 8.8677 Å
α = 90.00°, β = 90.00°, γ = 120.00°
Closest atoms and distances in Å follow each position.
Fractional positions:
Y  0.3333  0.6667  0.2500  8 Pt 2.97-3.02
Y  0.6667  0.3333  0.7500  8 Pt 2.97-3.02
In  0.0000  0.0000  0.0000  6 Pt 2.73
In  0.0000  0.0000  0.5000  6 Pt 2.73
Pt  0.3333  0.6667  0.5906  3 In 2.73, 1 Pt 2.83, 4 Y 2.97-3.02
Pt  0.3333  0.6667  0.9094  3 In 2.73, 1 Pt 2.83, 4 Y 2.97-3.02
Pt  0.6667  0.3333  0.0906  3 In 2.73, 1 Pt 2.83, 4 Y 2.97-3.02
Pt  0.6667  0.3333  0.4094  3 In 2.73, 1 Pt 2.83, 4 Y 2.97-3.02